A relaxed structure of Rb12CdHg6, computed with PBE-GGA.

```
data_Rb12CdHg6
_chemical_formula_sum 'Rb24 Cd2 Hg12'
_cell_length_a 12.824
_cell_length_b 12.824
_cell_length_c 12.824
_cell_angle_alpha 90.00
_cell_angle_beta 90.00
_cell_angle_gamma 90.00
_space_group_name_H-M_alt 'I m -3'
_space_group_IT_number 204
_space_group_name_Hall '-I 2 2 3'
loop_
_atom_site_label
_atom_site_type_symbol
_atom_site_fract_x
_atom_site_fract_y
_atom_site_fract_z
_atom_site_occupancy
Rb1 Rb 0.000 0.183 0.294 1
Cd1 Cd 0.000 0.000 0.000 1
Hg1 Hg 0.000 0.382 0.500 1
```

DFT formation energy, eV/atom: -0.138
Calculated total energy, eV/atom: -0.892
Volume, Å³/cell: 2108.9